Entry 1:
{
  "formula": "Ac14PrHo",
  "functional": "PBE-GGA",
  "state": "optimized geometry",
  "lattice_angstrom": [[-1.738, 6.215, -4.538], [-6.215, 1.608, 4.586], [6.458, 6.526, 6.464]],
  "species": ["Ho", "Ac", "Ac", "Ac", "Ac", "Pr", "Ac", "Ac", "Ac", "Ac", "Ac", "Ac", "Ac", "Ac", "Ac", "Ac"],
  "fractional_positions": [[0.875, 0.125, 0.000], [0.124, 0.374, 0.244], [0.124, 0.876, 0.243], [0.626, 0.374, 0.245], [0.626, 0.374, 0.755], [0.375, 0.625, 0.000], [0.626, 0.876, 0.244], [0.374, 0.125, 0.500], [0.874, 0.624, 0.000], [0.875, 0.626, 0.500], [0.124, 0.876, 0.757], [0.626, 0.876, 0.756], [0.375, 0.625, 0.500], [0.875, 0.125, 0.500], [0.124, 0.374, 0.756], [0.376, 0.126, 0.000]],
  "formation_enthalpy_0k_mev_per_atom": 25,
  "vol_a3_per_fu": 699.0,
  "m_tot_mub_per_cell": 0.0,
  "spacegroup": "No. 38"
}


Entry 2:
{
  "formula": "Ac4Pr5Ho",
  "functional": "PBE-GGA",
  "state": "optimized geometry",
  "lattice_angstrom": [[3.849, 0.000, 0.000], [0.000, 3.849, 0.000], [0.000, 0.000, 26.361]],
  "species": ["Ac", "Ac", "Ac", "Pr", "Pr", "Pr", "Ac", "Pr", "Ho", "Pr"],
  "fractional_positions": [[0.000, 0.000, 0.602], [0.000, 0.000, 0.193], [0.000, 0.000, 0.807], [0.500, 0.500, 0.296], [0.500, 0.500, 0.500], [0.500, 0.500, 0.091], [0.000, 0.000, 0.398], [0.500, 0.500, 0.909], [0.000, 0.000, 0.000], [0.500, 0.500, 0.704]],
  "formation_enthalpy_0k_mev_per_atom": 33,
  "vol_a3_per_fu": 390.6,
  "m_tot_mub_per_cell": 0.0,
  "spacegroup": "No. 123"
}


Entry 3:
{
  "formula": "Ac2Pr4Ho",
  "functional": "PBE-GGA",
  "state": "optimized geometry",
  "lattice_angstrom": [[-2.503, -2.865, -3.773], [3.510, -1.021, -5.350], [2.038, -7.145, 4.069]],
  "species": ["Ac", "Ac", "Ho", "Pr", "Pr", "Pr", "Pr"],
  "fractional_positions": [[0.287, 0.425, 0.144], [0.713, 0.575, 0.856], [0.000, 0.000, 0.000], [0.572, 0.856, 0.291], [0.141, 0.718, 0.574], [0.859, 0.282, 0.426], [0.428, 0.144, 0.709]],
  "formation_enthalpy_0k_mev_per_atom": 34,
  "de_polymorph_mev_per_atom": 0,
  "vol_a3_per_fu": 265.0,
  "m_tot_mub_per_cell": 0.0,
  "spacegroup": "No. 12"
}


Entry 4:
{
  "formula": "AcPr7Ho4",
  "functional": "PBE-GGA",
  "state": "optimized geometry",
  "lattice_angstrom": [[6.571, -1.913, 2.846], [0.738, 5.949, 2.287], [2.851, -2.341, 11.163]],
  "species": ["Pr", "Pr", "Ho", "Ho", "Pr", "Ho", "Pr", "Pr", "Ac", "Pr", "Pr", "Ho"],
  "fractional_positions": [[0.740, 0.500, 0.003], [0.260, 0.500, 0.997], [0.405, 0.722, 0.336], [0.837, 0.783, 0.664], [0.500, 0.000, 0.000], [0.595, 0.278, 0.664], [0.661, 0.226, 0.338], [0.339, 0.774, 0.662], [0.000, 0.000, 0.000], [0.917, 0.717, 0.338], [0.083, 0.283, 0.662], [0.163, 0.217, 0.336]],
  "formation_enthalpy_0k_mev_per_atom": 11,
  "de_polymorph_mev_per_atom": 0,
  "vol_a3_per_fu": 421.7,
  "m_tot_mub_per_cell": 0.0,
  "spacegroup": "No. 2"
}


Entry 5:
{
  "formula": "AcPr2Ho3",
  "functional": "PBE-GGA",
  "state": "optimized geometry",
  "lattice_angstrom": [[-6.465, -1.302, -0.271], [3.615, -2.269, 5.035], [-2.200, 9.692, 5.947]],
  "species": ["Ho", "Pr", "Pr", "Pr", "Ho", "Pr", "Ho", "Ho", "Ho", "Ho", "Ac", "Ac"],
  "fractional_positions": [[0.833, 0.665, 0.745], [0.667, 0.333, 0.458], [0.000, 0.000, 0.500], [0.333, 0.667, 0.542], [0.335, 0.167, 0.745], [0.000, 0.000, 0.000], [0.167, 0.335, 0.255], [0.167, 0.833, 0.255], [0.833, 0.167, 0.745], [0.665, 0.833, 0.255], [0.333, 0.667, 0.955], [0.667, 0.333, 0.045]],
  "formation_enthalpy_0k_mev_per_atom": 254,
  "de_polymorph_mev_per_atom": 36,
  "vol_a3_per_fu": 218.5,
  "m_tot_mub_per_cell": 0.0,
  "spacegroup": "No. 164"
}


Entry 6:
{
  "formula": "AcPr6Ho4",
  "functional": "PBE-GGA",
  "state": "optimized geometry",
  "lattice_angstrom": [[-1.101, -4.461, -8.987], [6.876, 1.644, 7.204], [-1.582, -1.583, 9.842]],
  "species": ["Ho", "Pr", "Pr", "Pr", "Ho", "Pr", "Pr", "Pr", "Ho", "Ho", "Ac"],
  "fractional_positions": [[0.000, 0.635, 0.008], [0.000, 0.815, 0.455], [0.640, 0.185, 0.185], [0.500, 0.000, 0.500], [0.627, 0.992, 0.992], [0.000, 0.455, 0.815], [0.360, 0.545, 0.545], [0.500, 0.500, 0.000], [0.373, 0.365, 0.365], [0.000, 0.008, 0.635], [0.000, 0.000, 0.000]],
  "formation_enthalpy_0k_mev_per_atom": 319,
  "vol_a3_per_fu": 396.8,
  "m_tot_mub_per_cell": 0.0,
  "spacegroup": "No. 121"
}


Entry 7:
{
  "formula": "AcPr6Ho12",
  "functional": "PBE-GGA",
  "state": "optimized geometry",
  "lattice_angstrom": [[8.732, -0.183, -1.225], [-1.384, 8.624, -1.225], [-0.160, -0.183, 8.817]],
  "species": ["Pr", "Ho", "Ho", "Ac", "Pr", "Ho", "Ho", "Ho", "Pr", "Ho", "Ho", "Ho", "Pr", "Ho", "Pr", "Ho", "Pr", "Ho", "Ho"],
  "fractional_positions": [[0.897, 0.349, 0.897], [0.357, 0.357, 0.080], [0.500, 0.243, 0.757], [0.000, 0.000, 0.000], [0.103, 0.651, 0.103], [0.243, 0.757, 0.500], [0.757, 0.500, 0.243], [0.757, 0.243, 0.500], [0.103, 0.103, 0.651], [0.080, 0.357, 0.357], [0.500, 0.757, 0.243], [0.920, 0.643, 0.643], [0.897, 0.897, 0.349], [0.357, 0.080, 0.357], [0.349, 0.897, 0.897], [0.643, 0.920, 0.643], [0.651, 0.103, 0.103], [0.643, 0.643, 0.920], [0.243, 0.500, 0.757]],
  "formation_enthalpy_0k_mev_per_atom": 209,
  "vol_a3_per_fu": 657.7,
  "m_tot_mub_per_cell": 0.0,
  "spacegroup": "No. 166"
}


Entry 8:
{
  "formula": "AcPr3Ho",
  "functional": "PBE-GGA",
  "state": "optimized geometry",
  "lattice_angstrom": [[8.080, 2.790, 0.000], [1.927, 8.328, 0.000], [0.000, 0.000, 6.310]],
  "species": ["Ho", "Ac", "Pr", "Pr", "Ho", "Pr", "Pr", "Pr", "Pr", "Ac"],
  "fractional_positions": [[0.354, 0.354, 0.750], [0.797, 0.797, 0.750], [0.602, 0.209, 0.250], [0.791, 0.398, 0.750], [0.646, 0.646, 0.250], [0.000, 0.000, 0.000], [0.209, 0.602, 0.250], [0.000, 0.000, 0.500], [0.398, 0.791, 0.750], [0.203, 0.203, 0.250]],
  "formation_enthalpy_0k_mev_per_atom": 332,
  "de_polymorph_mev_per_atom": 249,
  "vol_a3_per_fu": 195.3,
  "m_tot_mub_per_cell": 0.0,
  "spacegroup": "No. 63"
}


Entry 9:
{
  "formula": "AcPr7Ho2",
  "functional": "PBE-GGA",
  "state": "optimized geometry",
  "lattice_angstrom": [[5.916, 0.000, 0.000], [0.000, 9.278, -0.363], [0.000, -4.510, 8.116]],
  "species": ["Ho", "Pr", "Pr", "Ho", "Pr", "Pr", "Ac", "Pr", "Pr", "Pr"],
  "fractional_positions": [[0.500, 0.703, 0.297], [0.500, 0.700, 0.938], [0.500, 0.300, 0.062], [0.500, 0.297, 0.703], [0.000, 0.239, 0.761], [0.500, 0.938, 0.700], [0.000, 0.000, 0.000], [0.000, 0.761, 0.239], [0.500, 0.500, 0.500], [0.500, 0.062, 0.300]],
  "formation_enthalpy_0k_mev_per_atom": 597,
  "de_polymorph_mev_per_atom": 16,
  "vol_a3_per_fu": 435.8,
  "m_tot_mub_per_cell": 0.0,
  "spacegroup": "No. 65"
}


Entry 10:
{
  "formula": "Ac4PrHo2",
  "functional": "PBE-GGA",
  "state": "optimized geometry",
  "lattice_angstrom": [[-3.341, 4.906, 4.219], [2.158, -6.595, 2.208], [11.936, 5.681, 0.152]],
  "species": ["Ac", "Ac", "Ho", "Ho", "Ho", "Ac", "Pr", "Ac", "Ac", "Ac", "Ac", "Pr", "Ho", "Ac"],
  "fractional_positions": [[0.669, 0.796, 0.792], [0.796, 0.669, 0.292], [0.698, 0.999, 0.065], [0.386, 0.181, 0.435], [0.999, 0.698, 0.565], [0.634, 0.259, 0.709], [0.481, 0.731, 0.501], [0.866, 0.211, 0.360], [0.259, 0.634, 0.209], [0.211, 0.866, 0.860], [0.101, 0.249, 0.641], [0.731, 0.481, 0.001], [0.181, 0.386, 0.935], [0.249, 0.101, 0.141]],
  "formation_enthalpy_0k_mev_per_atom": 113,
  "vol_a3_per_fu": 278.4,
  "m_tot_mub_per_cell": 0.0,
  "spacegroup": "No. 9"
}


Entry 11:
{
  "formula": "Ac12Pr3Ho",
  "functional": "PBE-GGA",
  "state": "optimized geometry",
  "lattice_angstrom": [[-5.010, 2.349, -0.014], [-2.349, -5.010, -0.070], [-0.167, -0.230, 22.091]],
  "species": ["Ac", "Pr", "Ac", "Ho", "Pr", "Ac", "Ac", "Ac", "Ac", "Ac", "Ac", "Ac", "Ac", "Ac", "Ac", "Pr"],
  "fractional_positions": [[0.500, 0.500, 0.500], [0.000, 0.000, 0.249], [0.500, 0.000, 0.374], [0.000, 0.000, 0.000], [0.000, 0.000, 0.751], [0.500, 0.000, 0.877], [0.500, 0.500, 0.000], [0.000, 0.500, 0.626], [0.000, 0.500, 0.123], [0.000, 0.500, 0.374], [0.500, 0.000, 0.123], [0.500, 0.500, 0.751], [0.500, 0.000, 0.626], [0.500, 0.500, 0.249], [0.000, 0.500, 0.877], [0.000, 0.000, 0.500]],
  "formation_enthalpy_0k_mev_per_atom": 24,
  "vol_a3_per_fu": 676.6,
  "m_tot_mub_per_cell": 0.0,
  "spacegroup": "No. 123"
}


Entry 12:
{
  "formula": "Ac8Pr3Ho",
  "functional": "PBE-GGA",
  "state": "optimized geometry",
  "lattice_angstrom": [[8.265, -0.718, -4.054], [-4.882, 7.761, -1.087], [-0.452, 0.718, 9.194]],
  "species": ["Pr", "Ac", "Pr", "Ho", "Ac", "Ac", "Ac", "Ac", "Ac", "Ac", "Ac", "Pr"],
  "fractional_positions": [[0.500, 0.750, 0.250], [0.000, 0.625, 0.888], [0.000, 0.500, 0.500], [0.000, 0.000, 0.000], [0.000, 0.763, 0.257], [0.506, 0.743, 0.743], [0.494, 0.237, 0.237], [0.738, 0.112, 0.112], [0.000, 0.888, 0.625], [0.262, 0.375, 0.375], [0.000, 0.257, 0.763], [0.500, 0.250, 0.750]],
  "formation_enthalpy_0k_mev_per_atom": 577,
  "vol_a3_per_fu": 563.6,
  "m_tot_mub_per_cell": 0.0,
  "spacegroup": "No. 121"
}